{
  "formula": "CaGeWF2",
  "functional": "PBE+U",
  "state": "optimized geometry",
  "cell": [[4.2972, 0.0000, 0.0000], [0.0000, 5.4846, 0.0000], [0.0000, 0.0000, 4.2972]],
  "species": ["F", "F", "Ge", "Ca", "W"],
  "fractional_positions": [[0.0000, 0.0000, 0.5000], [0.5000, 0.0000, 0.0000], [0.0000, 0.5000, 0.0000], [0.5000, 0.5000, 0.5000], [0.0000, 0.0000, 0.0000]],
  "final_energy_ev_per_cell": -24.14,
  "space_group": "No. 123"
}